Entry from the Alexandria database: a geometry-optimized Sr2V2O structure (GGA+U).

Cell: 6.782 6.782 6.113 Å, 90.00 90.00 90.00°
Last column: magnetic moment on the atom in μB.
Sites, in units of the cell vectors:
Sr 0.295 0.795 0.000  0.00
Sr 0.795 0.705 0.000  0.00
Sr 0.705 0.205 0.000  0.00
Sr 0.205 0.295 0.000  0.00
O 0.000 0.000 0.000  0.00
O 0.500 0.500 0.000  0.00
V 0.098 0.598 0.500  0.61
V 0.598 0.902 0.500  0.61
V 0.902 0.402 0.500  0.61
V 0.402 0.098 0.500  0.61

Properties
As for the crystal system: tetragonal. The calculation puts the distance to the lowest polymorph of the same formula at 299 kJ/mol of formula units. As for the total moment: 0.276 μB/atom. For the total energy, the calculation gives -38.8 eV per cell.